Density functional theory data (PBE) for TiCoNiIr after structural relaxation.

Cell and atoms, written as POSCAR:
```
TiCoNiIr
1.0
-2.459 1.993 1.970
0.282 -2.404 2.784
2.775 1.997 1.443
Ir Ni Ti Co
1 1 1 1
direct
0.000 0.500 0.500 Ir
0.500 0.000 0.500 Ni
0.000 0.000 0.000 Ti
0.500 0.500 0.000 Co
```

Summary:
Formation energy: -0.49 eV/atom
Density of states at the Fermi level: 1.09 states/eV/atom
V: 51.04 Å³/cell
M_tot: 1.1 μB per cell
Energy relative to the lowest polymorph listed for this composition: 0 meV/atom
Space group: Pmmm (47)